No. 1
{
  "formula": "MgC3Se",
  "functional": "GGA-PBE",
  "state": "optimized geometry",
  "formation_energy_uncorrected_kj_per_mol_atoms": 244,
  "dos_ef_per_ev_fu": 3.16,
  "e_above_lowest_polymorph_mev_per_atom": 0,
  "lattice_angstrom": [[3.952, 0.000, 0.000], [0.000, 3.952, 0.000], [0.000, 0.000, 3.952]],
  "species": ["Mg", "C", "C", "C", "Se"],
  "frac_coords": [[0.000, 0.000, 0.000], [0.000, 0.500, 0.500], [0.500, 0.000, 0.500], [0.500, 0.500, 0.000], [0.500, 0.500, 0.500]]
}

No. 2
{
  "formula": "CaY3Br",
  "functional": "GGA-PBE",
  "state": "optimized geometry",
  "formation_energy_uncorrected_kj_per_mol_atoms": -19,
  "dos_ef_per_ev_fu": 4.69,
  "e_above_lowest_polymorph_mev_per_atom": 0,
  "lattice_angstrom": [[5.505, 0.000, 0.000], [0.000, 5.505, 0.000], [0.000, 0.000, 5.505]],
  "species": ["Ca", "Y", "Y", "Y", "Br"],
  "frac_coords": [[0.000, 0.000, 0.000], [0.000, 0.500, 0.500], [0.500, 0.000, 0.500], [0.500, 0.500, 0.000], [0.500, 0.500, 0.500]]
}

No. 3
{
  "formula": "SrY2ScPd",
  "functional": "GGA-PBE",
  "state": "optimized geometry",
  "dos_ef_per_ev_fu": 8.08,
  "formation_energy_ev_per_atom": -0.16,
  "lattice_angstrom": [[5.557, 0.000, 0.000], [0.000, 5.557, 0.000], [0.000, 0.000, 5.303]],
  "species": ["Sr", "Y", "Y", "Sc", "Pd"],
  "frac_coords": [[0.000, 0.000, 0.000], [0.000, 0.500, 0.500], [0.500, 0.000, 0.500], [0.500, 0.500, 0.000], [0.500, 0.500, 0.500]]
}

No. 4
{
  "formula": "LiPd2Pb8",
  "functional": "GGA-PBE",
  "state": "optimized geometry",
  "dos_ef_per_ev_fu": 5.92,
  "formation_energy_ev_per_atom": -0.07,
  "lattice_angstrom": [[6.657, -4.550, 0.000], [6.657, 4.550, 0.000], [-1.257, 0.000, 5.100]],
  "species": ["Li", "Pd", "Pd", "Pb", "Pb", "Pb", "Pb", "Pb", "Pb", "Pb", "Pb"],
  "frac_coords": [[0.000, 0.000, 0.000], [0.214, 0.214, 0.102], [0.786, 0.786, 0.898], [0.126, 0.126, 0.543], [0.163, 0.592, 0.058], [0.387, 0.387, 0.564], [0.408, 0.837, 0.942], [0.592, 0.163, 0.058], [0.613, 0.613, 0.436], [0.837, 0.408, 0.942], [0.874, 0.874, 0.457]]
}